Entry 1:
# Cs3Cl7, relaxed, DFT GGA-PBE
# E_form (uncorrected)	-10.2	eV per formula unit
# Fermi-level density of states	0.0	states/eV/f.u.
# raw total energy	-25.65	eV/cell
data_Cs3Cl7
_chemical_formula_sum 'Cs3 Cl7'
_cell_length_a 7.7499
_cell_length_b 7.7499
_cell_length_c 8.8918
_cell_angle_alpha 64.16
_cell_angle_beta 64.16
_cell_angle_gamma 90.00
_space_group_name_H-M_alt 'P 1'
_space_group_IT_number 1
_space_group_name_Hall 'P 1'
loop_
_atom_site_label
_atom_site_fract_x
_atom_site_fract_y
_atom_site_fract_z
Cl1 0.7083 0.7083 0.0000
Cl2 0.2917 0.7083 0.0000
Cl3 0.7083 0.2917 0.0000
Cl4 0.7648 0.7648 0.4704
Cl5 0.2352 0.2352 0.5296
Cl6 0.2917 0.2917 0.0000
Cl7 0.5000 0.5000 0.0000
Cs1 0.0000 0.0000 0.0000
Cs2 0.2500 0.7500 0.5000
Cs3 0.7500 0.2500 0.5000

Entry 2:
# LiCd3Cu, relaxed, DFT GGA-PBE
# Fermi-level density of states	1.6	states/eV/f.u.
# excess energy over the best structure of this formula in the dataset	0.000	kcal/mol of atoms
# energy of formation	-109	meV/atom
# raw total energy	-18.60	eV/cell
data_LiCd3Cu
_chemical_formula_sum 'Li2 Cd6 Cu2'
_cell_length_a 4.6301
_cell_length_b 4.5903
_cell_length_c 8.7635
_cell_angle_alpha 90.00
_cell_angle_beta 74.68
_cell_angle_gamma 90.00
_space_group_name_H-M_alt 'P 1'
_space_group_IT_number 1
_space_group_name_Hall 'P 1'
loop_
_atom_site_label
_atom_site_fract_x
_atom_site_fract_y
_atom_site_fract_z
Cd1 0.3850 0.2500 0.8784
Cd2 0.2634 0.7500 0.1216
Cd3 0.7630 0.2500 0.1223
Cd4 0.0751 0.7500 0.4983
Cd5 0.5733 0.2500 0.5017
Cd6 0.8853 0.7500 0.8777
Cu1 0.9806 0.2500 0.6871
Cu2 0.6677 0.7500 0.3129
Li1 0.4823 0.7500 0.6838
Li2 0.1661 0.2500 0.3162

Entry 3:
# Mg5Zr4, relaxed, DFT GGA-PBE
# Fermi-level density of states	5.6	states/eV/f.u.
# excess energy over the best structure of this formula in the dataset	0.000	kcal/mol of atoms
# energy of formation	-2	meV/atom
# raw total energy	-42.18	eV/cell
data_Mg5Zr4
_chemical_formula_sum 'Mg5 Zr4'
_cell_length_a 9.8444
_cell_length_b 9.8444
_cell_length_c 7.2769
_cell_angle_alpha 47.44
_cell_angle_beta 47.44
_cell_angle_gamma 90.00
_space_group_name_H-M_alt 'P 1'
_space_group_IT_number 1
_space_group_name_Hall 'P 1'
loop_
_atom_site_label
_atom_site_fract_x
_atom_site_fract_y
_atom_site_fract_z
Mg1 0.0000 0.0000 0.0000
Mg2 0.3304 0.6696 0.0000
Mg3 0.6696 0.3304 0.0000
Mg4 0.6696 0.6696 0.0000
Mg5 0.3304 0.3304 0.0000
Zr1 0.3395 0.0000 0.0000
Zr2 0.0000 0.3395 0.0000
Zr3 0.0000 0.6605 0.0000
Zr4 0.6605 0.0000 0.0000